Below is La3TbHo7 after structural relaxation, with properties calculated at the PBE level.

```
La3TbHo7
1.0
7.0809 0.0000 0.0000
-3.5405 6.1323 0.0000
0.0000 0.0000 8.7666
La Tb Ho
3 1 7
Cartesian
5.3096 3.0655 0.0000
3.5405 0.0012 0.0000
1.7713 3.0655 0.0000
0.0000 4.0882 2.9882
0.0000 2.0509 5.7850
-1.7643 5.1068 5.7850
1.7767 1.0258 2.9872
1.7643 5.1068 5.7850
3.5405 2.0441 5.7782
5.3042 1.0258 2.9872
3.5405 4.0807 2.9872
```

Its final energy is -4.5047 eV per atom. The magnetic moment is 0.00 Bohr magnetons per cell. The value obtained for the energy relative to the elements is 1.905 eV per formula unit.